<A>
A relaxed structure of Pr2AuSe. Source: Alexandria via LeMat-Bulk, functional PBE.

Computed properties:
Symmetry: Cmcm
M_tot (μB/atom): 0.0000
ρ (g/cm3): 8.4

Cell: 4.4588 4.1141 12.2006 Å, 99.71 90.00 90.00°
Closest atoms and distances in Å follow each position.
Positions (direct):
Pr (0.7500, 0.6849, 0.3697)  5 Se 2.99-3.04
Pr (0.2500, 0.3151, 0.6303)  5 Se 2.99-3.04
Pr (0.7500, 0.9330, 0.8659)  1 Se 2.98, 4 Au 3.09
Pr (0.2500, 0.0670, 0.1341)  1 Se 2.98, 4 Au 3.09
Au (0.2500, 0.4563, 0.9127)  2 Au 3.06, 7 Pr 3.09-3.40
Au (0.7500, 0.5437, 0.0873)  2 Au 3.06, 7 Pr 3.09-3.40
Se (0.2500, 0.1910, 0.3820)  6 Pr 2.98-3.04
Se (0.7500, 0.8090, 0.6180)  6 Pr 2.98-3.04

***

<B>
A relaxed structure of Pr2AuSe. Source: Alexandria via LeMat-Bulk, functional PBE.

Computed properties:
Symmetry: R3m
M_tot (μB/atom): 0.0000
ρ (g/cm3): 8.0

Cell: 4.1589 4.1589 8.1262 Å, 75.17 75.17 60.00°
Closest atoms and distances in Å follow each position.
Positions (direct):
Pr (0.0813, 0.0813, 0.7561)  3 Au 3.04, 3 Se 3.10
Pr (0.2521, 0.2521, 0.2437)  3 Au 3.07, 3 Se 3.14
Au (0.6678, 0.6678, 0.9966)  6 Pr 3.04-3.07
Se (0.4988, 0.4988, 0.5037)  6 Pr 3.10-3.14

***

What are the relative energies? In eV/atom: <A> 0.000; <B> 0.124.

***

<A>
A relaxed structure of Pr2Si2Au. Source: Alexandria via LeMat-Bulk, functional PBE.

Computed properties:
Symmetry: Amm2
M_tot (μB/atom): 0.0000
ρ (g/cm3): 7.7

Cell: 4.2074 4.2377 6.8228 Å, 108.09 90.00 90.00°
Closest atoms and distances in Å follow each position.
Positions (direct):
Pr (0.0000, 0.6880, 0.3759)  1 Pr 3.10, 4 Au 3.15, 6 Si 3.18-3.40
Pr (0.0000, 0.9273, 0.8546)  1 Pr 3.10, 8 Si 3.15-3.33, 2 Au 3.17
Si (0.5000, 0.3129, 0.6258)  1 Si 2.48, 1 Au 2.63
Si (0.5000, 0.5037, 0.0075)  1 Si 2.48, 2 Au 2.53
Au (0.5000, 0.1102, 0.2203)  3 Si 2.53-2.63

***

<B>
A relaxed structure of Pr2Si2Au. Source: Alexandria via LeMat-Bulk, functional PBE.

Computed properties:
Symmetry: C2/m
M_tot (μB/atom): 0.0000
ρ (g/cm3): 7.5

Cell: 4.3654 5.9935 9.9608 Å, 83.13 77.34 68.64°
Closest atoms and distances in Å follow each position.
Positions (direct):
Pr (0.7113, 0.2309, 0.3466)  4 Au 3.21-3.26, 7 Si 3.27-3.31
Pr (0.8952, 0.3040, 0.9056)  6 Si 3.07-3.22, 2 Au 3.17
Pr (0.2887, 0.7691, 0.6534)  4 Au 3.21-3.26, 7 Si 3.27-3.31
Pr (0.1048, 0.6960, 0.0944)  6 Si 3.07-3.22, 2 Au 3.17
Si (0.0294, 0.3514, 0.5898)  1 Si 2.35, 2 Au 2.52
Si (0.6123, 0.8816, 0.8938)  1 Si 2.50, 1 Au 2.61
Si (0.9706, 0.6486, 0.4102)  1 Si 2.35, 2 Au 2.52
Si (0.3877, 0.1184, 0.1062)  1 Si 2.50, 1 Au 2.61
Au (0.5666, 0.1853, 0.6816)  3 Si 2.52-2.61
Au (0.4334, 0.8147, 0.3184)  3 Si 2.52-2.61

***

What are the relative energies? In eV/atom: <A> 0.139; <B> 0.000.

***

<A>
A relaxed structure of PrSmAu. Source: Alexandria via LeMat-Bulk, functional PBE.

Computed properties:
Symmetry: P3m1
M_tot (μB/atom): 0.0000
ρ (g/cm3): 9.4

Cell: 3.9750 4.9982 4.9982 Å, 120.00 90.00 90.00°
Closest atoms and distances in Å follow each position.
Positions (direct):
Pr (0.7131, 0.6667, 0.3333)  3 Au 3.14, 3 Sm 3.39
Au (0.0223, 0.0000, 0.0000)  3 Sm 3.04, 3 Pr 3.14
Sm (0.2646, 0.3333, 0.6667)  3 Au 3.04, 3 Pr 3.39

***

<B>
A relaxed structure of PrSmAu. Source: Alexandria via LeMat-Bulk, functional PBE.

Computed properties:
Symmetry: F-43m
M_tot (μB/atom): 0.0024
ρ (g/cm3): 8.5

Cell: 5.1277 5.1277 5.1277 Å, 60.00 60.00 60.00°
Closest atoms and distances in Å follow each position.
Positions (direct):
Pr (0.0000, 0.0000, 0.0000)  4 Au 3.14
Au (0.2500, 0.2500, 0.2500)  4 Sm 3.14, 4 Pr 3.14
Sm (0.5000, 0.5000, 0.5000)  4 Au 3.14

***

<C>
A relaxed structure of PrSmAu. Source: Alexandria via LeMat-Bulk, functional PBE.

Computed properties:
Symmetry: P2_1/m
M_tot (μB/atom): 0.0000
ρ (g/cm3): 9.2

Cell: 3.9349 8.5853 15.5942 Å, 88.80 90.00 90.00°
Closest atoms and distances in Å follow each position.
Positions (direct):
Pr (0.7500, 0.5356, 0.3937)  4 Au 3.28-3.34, 2 Sm 3.54
Pr (0.2500, 0.0127, 0.7106)  4 Au 3.12-3.30
Pr (0.7500, 0.9873, 0.2894)  4 Au 3.12-3.30
Pr (0.7500, 0.6565, 0.0845)  5 Au 3.17-3.30
Pr (0.2500, 0.4644, 0.6063)  4 Au 3.28-3.34, 2 Sm 3.54
Pr (0.2500, 0.3435, 0.9155)  5 Au 3.17-3.30
Sm (0.2500, 0.0238, 0.0911)  2 Au 3.00
Sm (0.2500, 0.8414, 0.4755)  2 Au 2.92
Sm (0.7500, 0.6326, 0.7836)  4 Au 2.94-3.08
Sm (0.7500, 0.1586, 0.5245)  2 Au 2.92
Sm (0.2500, 0.3674, 0.2164)  4 Au 2.94-3.08
Sm (0.7500, 0.9762, 0.9089)  2 Au 3.00
Au (0.2500, 0.7138, 0.9276)  4 Sm 3.00-3.08, 3 Pr 3.17-3.19
Au (0.7500, 0.2834, 0.7499)  1 Sm 3.05, 6 Pr 3.12-3.34
Au (0.7500, 0.7696, 0.6093)  3 Sm 2.92-2.94
Au (0.7500, 0.2862, 0.0724)  4 Sm 3.00-3.08, 3 Pr 3.17-3.19
Au (0.2500, 0.2304, 0.3907)  3 Sm 2.92-2.94
Au (0.2500, 0.7166, 0.2501)  1 Sm 3.05, 6 Pr 3.12-3.34

***

<D>
A relaxed structure of PrSmAu. Source: Alexandria via LeMat-Bulk, functional PBE.

Computed properties:
Symmetry: Amm2
M_tot (μB/atom): 0.0000
ρ (g/cm3): 9.2

Cell: 8.4575 10.0324 9.0567 Å, 123.63 117.83 90.00°
Closest atoms and distances in Å follow each position.
Positions (direct):
Pr (0.7490, 0.0558, 0.6117)  3 Au 3.10-3.40
Pr (0.1373, 0.9442, 0.3883)  3 Au 3.10-3.40
Pr (0.3374, 0.7499, 0.9999)  5 Au 3.19-3.23
Pr (0.3375, 0.2501, 0.0001)  5 Au 3.19-3.23
Pr (0.1372, 0.4439, 0.3879)  3 Au 3.10-3.40
Pr (0.7493, 0.5561, 0.6121)  3 Au 3.10-3.40
Sm (0.0212, 0.0000, 0.0000)  2 Au 2.96
Sm (0.0212, 0.5000, 0.0000)  2 Au 2.96
Sm (0.4909, 0.3628, 0.7254)  4 Au 2.86-3.13
Sm (0.7655, 0.6372, 0.2746)  4 Au 2.86-3.13
Sm (0.7655, 0.1375, 0.2746)  4 Au 2.86-3.13
Sm (0.4909, 0.8625, 0.7254)  4 Au 2.86-3.13
Au (0.7150, 0.2498, 0.9997)  3 Pr 3.10-3.19, 4 Sm 3.13
Au (0.7153, 0.7502, 0.0003)  3 Pr 3.10-3.19, 4 Sm 3.13
Au (0.4398, 0.1581, 0.3165)  3 Sm 2.86-2.96
Au (0.1234, 0.8419, 0.6835)  3 Sm 2.86-2.96
Au (0.1234, 0.3417, 0.6835)  3 Sm 2.86-2.96
Au (0.4398, 0.6583, 0.3165)  3 Sm 2.86-2.96

***

What are the relative energies? In eV/atom: <A> 0.150; <B> 0.164; <C> 0.011; <D> 0.000.

***

<A>
A relaxed structure of Pr2SmAu3. Source: Alexandria via LeMat-Bulk, functional PBE.

Computed properties:
Symmetry: Cmmm
M_tot (μB/atom): 0.0000
ρ (g/cm3): 11.0

Cell: 5.2770 8.3513 7.4018 Å, 90.00 90.00 71.58°
Closest atoms and distances in Å follow each position.
Positions (direct):
Pr (0.0000, 0.0000, 0.0000)  8 Au 3.20-3.22
Pr (0.0000, 0.0000, 0.5000)  8 Au 3.24-3.31
Pr (0.3338, 0.3323, 0.5000)  8 Au 3.24-3.27
Pr (0.6662, 0.6677, 0.5000)  8 Au 3.24-3.27
Sm (0.3333, 0.3335, 0.0000)  8 Au 3.14-3.21
Sm (0.6667, 0.6665, 0.0000)  8 Au 3.14-3.21
Au (0.8303, 0.3393, 0.7599)  3 Sm 3.14-3.18, 5 Pr 3.22-3.31
Au (0.5001, 0.0000, 0.2455)  6 Pr 3.20-3.24, 2 Sm 3.21
Au (0.1697, 0.6607, 0.2401)  3 Sm 3.14-3.18, 5 Pr 3.22-3.31
Au (0.8304, 0.3393, 0.2401)  3 Sm 3.14-3.18, 5 Pr 3.22-3.31
Au (0.1696, 0.6607, 0.7599)  3 Sm 3.14-3.18, 5 Pr 3.22-3.31
Au (0.4999, 0.0000, 0.7545)  6 Pr 3.20-3.24, 2 Sm 3.21

***

<B>
A relaxed structure of Pr2SmAu3. Source: Alexandria via LeMat-Bulk, functional PBE.

Computed properties:
Symmetry: Cmcm
M_tot (μB/atom): 0.0000
ρ (g/cm3): 10.3

Cell: 4.6810 6.4503 11.1549 Å, 90.00 102.11 90.00°
Closest atoms and distances in Å follow each position.
Positions (direct):
Pr (0.1469, 0.7500, 0.2938)  6 Au 3.07-3.22
Pr (0.8531, 0.2500, 0.7062)  6 Au 3.07-3.22
Pr (0.9706, 0.7500, 0.9412)  4 Au 3.09
Pr (0.0294, 0.2500, 0.0588)  4 Au 3.09
Sm (0.3209, 0.7500, 0.6418)  4 Au 2.96-3.02
Sm (0.6791, 0.2500, 0.3582)  4 Au 2.96-3.02
Au (0.4314, 0.4673, 0.8627)  2 Au 2.80-3.02, 1 Sm 3.02, 2 Pr 3.09
Au (0.5686, 0.5327, 0.1373)  2 Au 2.80-3.02, 1 Sm 3.02, 2 Pr 3.09
Au (0.4314, 0.0327, 0.8627)  2 Au 2.80-3.02, 1 Sm 3.02, 2 Pr 3.09
Au (0.5686, 0.9673, 0.1373)  2 Au 2.80-3.02, 1 Sm 3.02, 2 Pr 3.09
Au (0.7382, 0.7500, 0.4763)  2 Sm 2.96, 2 Pr 3.07
Au (0.2618, 0.2500, 0.5237)  2 Sm 2.96, 2 Pr 3.07

***

What are the relative energies? In eV/atom: <A> 0.000; <B> 0.122.

***

<A>
A relaxed structure of Pr2Sm3Au4. Source: Alexandria via LeMat-Bulk, functional PBE.

Computed properties:
Symmetry: Cmce
M_tot (μB/atom): 0.0000
ρ (g/cm3): 10.1

Cell: 7.2461 7.6812 9.7146 Å, 90.00 111.90 90.00°
Closest atoms and distances in Å follow each position.
Positions (direct):
Pr (0.0962, 0.5736, 0.1924)  3 Au 3.12-3.31
Pr (0.9038, 0.4264, 0.8076)  3 Au 3.12-3.31
Pr (0.4038, 0.0736, 0.8076)  3 Au 3.12-3.31
Pr (0.5962, 0.9264, 0.1924)  3 Au 3.12-3.31
Sm (0.0000, 0.0000, 0.0000)  6 Au 2.90-3.04
Sm (0.5000, 0.5000, 0.0000)  6 Au 2.90-3.04
Sm (0.5128, 0.7500, 0.5255)  5 Au 3.01-3.08
Sm (0.9872, 0.2500, 0.4745)  5 Au 3.01-3.08
Sm (0.4872, 0.2500, 0.4745)  5 Au 3.01-3.08
Sm (0.0128, 0.7500, 0.5255)  5 Au 3.01-3.08
Au (0.6828, 0.7500, 0.8657)  3 Sm 2.90-3.07, 2 Pr 3.12
Au (0.8172, 0.2500, 0.1343)  3 Sm 2.90-3.07, 2 Pr 3.12
Au (0.3172, 0.2500, 0.1343)  3 Sm 2.90-3.07, 2 Pr 3.12
Au (0.1828, 0.7500, 0.8657)  3 Sm 2.90-3.07, 2 Pr 3.12
Au (0.1681, 0.9695, 0.3362)  5 Sm 3.01-3.08, 1 Pr 3.31, 2 Au 3.35
Au (0.8319, 0.0305, 0.6638)  5 Sm 3.01-3.08, 1 Pr 3.31, 2 Au 3.35
Au (0.3319, 0.4695, 0.6638)  5 Sm 3.01-3.08, 1 Pr 3.31, 2 Au 3.35
Au (0.6681, 0.5305, 0.3362)  5 Sm 3.01-3.08, 1 Pr 3.31, 2 Au 3.35

***

<B>
A relaxed structure of Pr2Sm3Au4. Source: Alexandria via LeMat-Bulk, functional PBE.

Computed properties:
Symmetry: P2_1/c
M_tot (μB/atom): 0.0000
ρ (g/cm3): 10.3

Cell: 7.5026 8.8821 7.8636 Å, 90.00 90.00 110.49°
Closest atoms and distances in Å follow each position.
Positions (direct):
Pr (0.5519, 0.1870, 0.3211)  6 Au 3.16-3.52
Pr (0.9481, 0.8130, 0.8211)  6 Au 3.16-3.52
Pr (0.4481, 0.8130, 0.6789)  6 Au 3.16-3.52
Pr (0.0519, 0.1870, 0.1789)  6 Au 3.16-3.52
Sm (0.0000, 0.5000, 0.5000)  4 Au 3.00
Sm (0.5000, 0.5000, 0.0000)  4 Au 3.00
Sm (0.7348, 0.2409, 0.8323)  6 Au 3.02-3.18
Sm (0.7652, 0.7591, 0.3323)  6 Au 3.02-3.18
Sm (0.2652, 0.7591, 0.1677)  6 Au 3.02-3.18
Sm (0.2348, 0.2409, 0.6677)  6 Au 3.02-3.18
Au (0.8376, 0.0717, 0.5336)  3 Sm 3.02-3.07, 3 Pr 3.16-3.23, 1 Au 3.16
Au (0.6624, 0.9283, 0.0336)  3 Sm 3.02-3.07, 3 Pr 3.16-3.23, 1 Au 3.16
Au (0.1624, 0.9283, 0.4664)  3 Sm 3.02-3.07, 3 Pr 3.16-3.23, 1 Au 3.16
Au (0.3376, 0.0717, 0.9664)  3 Sm 3.02-3.07, 3 Pr 3.16-3.23, 1 Au 3.16
Au (0.8676, 0.4889, 0.1380)  1 Au 2.90, 5 Sm 3.00-3.18, 1 Pr 3.23
Au (0.6324, 0.5111, 0.6380)  1 Au 2.90, 5 Sm 3.00-3.18, 1 Pr 3.23
Au (0.1324, 0.5111, 0.8620)  1 Au 2.90, 5 Sm 3.00-3.18, 1 Pr 3.23
Au (0.3676, 0.4889, 0.3620)  1 Au 2.90, 5 Sm 3.00-3.18, 1 Pr 3.23

***

What are the relative energies? In eV/atom: <A> 0.085; <B> 0.000.